Pa2Ga2Au after structural relaxation. Source: Alexandria via LeMat-Bulk, functional PBE.

abc: 7.8406 7.8406 3.1050
angles: 90.00 90.00 146.77
Closest atoms and distances in Å follow each position.
Fractional coordinates of all 5 atoms:
Pa 0.1104 0.8896 0.0000  6 Ga 3.08-3.17, 3 Pa 3.10-3.32, 4 Au 3.19
Pa 0.8896 0.1104 0.0000  6 Ga 3.08-3.17, 3 Pa 3.10-3.32, 4 Au 3.19
Ga 0.2947 0.7053 0.5000  2 Ga 2.61
Ga 0.7053 0.2947 0.5000  2 Ga 2.61
Au 0.5000 0.5000 0.5000  2 Ga 3.09, 2 Au 3.10, 8 Pa 3.19

Values from the calculation:
The crystal system is orthorhombic. The relative energy among the computed polymorphs comes out at 0.059 eV/atom. The calculation puts the energy relative to the elements at -0.28 eV per atom.